# Sc5InPd6

Crystalline Sc5InPd6 at its relaxed geometry (PBE, the Alexandria database).

Properties
DOS(E_F) = 6.89 states/eV/f.u.
Crystal system = monoclinic
Magnetic moment = 0.00 μB/atom
Energy of formation = -0.871 eV per atom

Structure (CIF):
```
data_Sc5InPd6
_chemical_formula_sum 'Sc10 In2 Pd12'
_space_group_name_H-M_alt 'C 1 2/m 1'
_space_group_IT_number 12
_cell_length_a 8.119
_cell_length_b 13.994
_cell_length_c 4.670
_cell_angle_alpha 90.00
_cell_angle_beta 125.12
_cell_angle_gamma 90.00
loop_
_space_group_symop_operation_xyz
'x,y,z'
'-x,-y,-z'
'-x,y,-z'
'x,-y,z'
'x+1/2,y+1/2,z'
'-x+1/2,-y+1/2,-z'
'-x+1/2,y+1/2,-z'
'x+1/2,-y+1/2,z'
loop_
_atom_site_label
_atom_site_type_symbol
_atom_site_fract_x
_atom_site_fract_y
_atom_site_fract_z
_atom_site_occupancy
Sc1 Sc 0.000 0.000 0.000 1
Sc2 Sc 0.000 0.169 0.500 1
Sc3 Sc 0.000 0.340 0.000 1
In1 In 0.000 0.500 0.500 1
Pd1 Pd 0.231 0.000 0.732 1
Pd2 Pd 0.243 0.172 0.242 1
```